(1)
Here is a relaxed Tm6InIr2 crystal from the Alexandria database. Energies are from PBE.

Summary:
crystal system: orthorhombic
space group: Immm, No. 71

Lattice parameters (Å, degrees): 8.403 8.403 8.403 103.68 111.75 113.14
Element x y z (fractional)
Ir 0.331 0.000 0.331
Ir 0.500 0.366 0.866
Ir 0.669 0.000 0.669
Ir 0.500 0.634 0.134
Tm 0.107 0.289 0.818
Tm 0.471 0.289 0.182
Tm 0.794 0.239 0.034
Tm 0.529 0.711 0.818
Tm 0.794 0.761 0.555
Tm 0.308 0.640 0.333
Tm 0.206 0.761 0.966
Tm 0.893 0.711 0.182
Tm 0.308 0.975 0.667
Tm 0.692 0.025 0.333
Tm 0.692 0.360 0.667
Tm 0.206 0.239 0.445
In 0.000 0.500 0.500
In 0.000 0.000 0.000

=====

(2)
Here is a relaxed SrLaTb2Se4 crystal from the Alexandria database. Energies are from PBE.

Summary:
crystal system: monoclinic
space group: P2/m, No. 10
raw formation energy: -1.883 eV per atom

Lattice parameters (Å, degrees): 4.193 7.347 7.322 70.96 90.00 90.00
Element x y z (fractional)
Tb 0.500 0.000 0.500
Tb 0.000 0.000 0.000
Se 0.500 0.233 0.756
Se 0.000 0.234 0.256
Se 0.000 0.766 0.744
Se 0.500 0.767 0.244
Sr 0.000 0.500 0.500
La 0.500 0.500 0.000

=====

(3)
Here is a relaxed TbErNi2 crystal from the Alexandria database. Energies are from PBE.

Summary:
crystal system: trigonal
space group: R-3m, No. 166

Lattice parameters (Å, degrees): 3.920 3.920 6.713 73.02 73.02 60.00
Element x y z (fractional)
Er 0.000 0.000 0.000
Ni 0.748 0.748 0.755
Ni 0.252 0.252 0.245
Tb 0.500 0.500 0.500

=====

(4)
Here is a relaxed CsNa2Tl8 crystal from the Alexandria database. Energies are from PBE.

Summary:
crystal system: orthorhombic
space group: Cmmm, No. 65

Lattice parameters (Å, degrees): 5.959 5.959 12.117 90.00 90.00 68.85
Element x y z (fractional)
Cs 0.000 0.000 0.000
Tl 0.500 0.500 0.648
Tl 0.500 0.000 0.777
Tl 0.500 0.500 0.352
Tl 0.000 0.500 0.500
Tl 0.500 0.000 0.223
Tl 0.000 0.500 0.223
Tl 0.500 0.000 0.500
Tl 0.000 0.500 0.777
Na 0.000 0.000 0.642
Na 0.000 0.000 0.358

=====

(5)
Here is a relaxed Ca3TlBi4 crystal from the Alexandria database. Energies are from PBE.

Summary:
crystal system: triclinic
space group: P-1, No. 2

Lattice parameters (Å, degrees): 4.317 5.166 13.723 76.76 108.29 90.00
Element x y z (fractional)
Ca 0.360 0.788 0.360
Ca 0.640 0.212 0.640
Ca 0.500 0.500 0.000
Bi 0.897 0.255 0.399
Bi 0.801 0.608 0.800
Bi 0.199 0.392 0.200
Bi 0.103 0.745 0.601
Tl 0.000 0.000 0.000

=====

(6)
Here is a relaxed KTcPb2 crystal from the Alexandria database. Energies are from PBE.

Summary:
crystal system: tetragonal
offset from the most stable computed form: 567.5 meV per atom
space group: P4/mmm, No. 123

Lattice parameters (Å, degrees): 4.362 4.999 4.999 90.00 90.00 90.00
Last column: magnetic moment on the atom in μB.
Element x y z (fractional)
Tc 0.500 0.500 0.000  2.73
K 0.500 0.000 0.500  0.00
Pb 0.000 0.500 0.500  -0.04
Pb 0.000 0.000 0.000  -0.04

=====

no.,DOS at the Fermi energy (states/eV per atom),total energy (Ry per atom),spin magnetization (μB per atom)
1,0.87,-0.43375,0.00
2,0.44,-0.41223,0.00
3,0.62,-0.39804,0.00
4,0.58,-0.15213,0.00
5,0.35,-0.24815,0.00
6,0.93,-0.28682,0.76